Entry 1:
The following is a PBE calculation of a geometry-optimized K2Tl9Rh3 structure, from the Alexandria database.

Cell lengths 8.6991, 8.6991, 12.0998 Å; angles 111.92, 111.92, 59.21 degrees
Last column: nearest neighbours and their distance in Å.
Fractional coordinates of all 28 atoms:
K 0.0873 0.2551 0.2482  11 Tl 3.31-3.58
K 0.2551 0.0873 0.7482  11 Tl 3.31-3.58
K 0.7449 0.9127 0.2518  11 Tl 3.31-3.58
K 0.9127 0.7449 0.7518  11 Tl 3.31-3.58
Tl 0.0070 0.8761 0.0783  3 Rh 2.89-3.14, 1 Tl 3.23
Tl 0.1239 0.9930 0.4217  3 Rh 2.89-3.14, 1 Tl 3.23
Tl 0.1774 0.5837 0.2516  2 Rh 2.83-2.86
Tl 0.1824 0.3597 0.5739  3 Rh 2.95-3.03, 5 Tl 3.21-3.26
Tl 0.3061 0.4889 0.9531  3 Rh 2.87-2.94
Tl 0.3352 0.6648 0.7500  2 Rh 2.83
Tl 0.3597 0.1824 0.0739  3 Rh 2.95-3.03, 5 Tl 3.21-3.26
Tl 0.4163 0.8226 0.2484  2 Rh 2.83-2.86
Tl 0.4889 0.3061 0.4531  3 Rh 2.87-2.94
Tl 0.5111 0.6939 0.5469  3 Rh 2.87-2.94
Tl 0.5837 0.1774 0.7516  2 Rh 2.83-2.86
Tl 0.6403 0.8176 0.9261  3 Rh 2.95-3.03, 5 Tl 3.21-3.26
Tl 0.6648 0.3352 0.2500  2 Rh 2.83
Tl 0.6939 0.5111 0.0469  3 Rh 2.87-2.94
Tl 0.8176 0.6403 0.4261  3 Rh 2.95-3.03, 5 Tl 3.21-3.26
Tl 0.8226 0.4163 0.7484  2 Rh 2.83-2.86
Tl 0.8761 0.0070 0.5783  3 Rh 2.89-3.14, 1 Tl 3.23
Tl 0.9930 0.1239 0.9217  3 Rh 2.89-3.14, 1 Tl 3.23
Rh 0.0000 0.5000 0.0000  8 Tl 2.86-3.07
Rh 0.1714 0.6616 0.4990  8 Tl 2.83-3.14
Rh 0.3384 0.8286 0.0010  8 Tl 2.83-3.14
Rh 0.5000 0.0000 0.5000  8 Tl 2.86-3.07
Rh 0.6616 0.1714 0.9990  8 Tl 2.83-3.14
Rh 0.8286 0.3384 0.5010  8 Tl 2.83-3.14

## Properties
energy relative to the elements: 2 kJ per mole of atoms
symmetry: No. 15
Fermi-level density of states: 8.848 states/eV/f.u.
V: 710.4 Å³ per cell
magnetic moment: 0.0 μB per cell

***

Entry 2:
The following is a PBE calculation of a geometry-optimized NpNb2Pd structure, from the Alexandria database.

Cell lengths 3.3953, 3.3953, 6.3016 Å; angles 90.00, 90.00, 90.00 degrees
Last column: nearest neighbours and their distance in Å.
Fractional coordinates of all 4 atoms:
Np 0.0000 0.0000 0.0000  8 Nb 2.84, 2 Pd 3.15
Nb 0.5000 0.5000 0.2399  4 Np 2.84, 4 Pd 2.91, 1 Nb 3.02
Nb 0.5000 0.5000 0.7601  4 Np 2.84, 4 Pd 2.91, 1 Nb 3.02
Pd 0.0000 0.0000 0.5000  8 Nb 2.91, 2 Np 3.15

## Properties
energy relative to the elements: 17 kJ per mole of atoms
symmetry: No. 123
Fermi-level density of states: 6.500 states/eV/f.u.
E above lowest polymorph: 0.105 eV per atom
V: 72.6 Å³ per cell
magnetic moment: 2.4 μB per cell

***

Entry 3:
The following is a PBE calculation of a geometry-optimized Na3NiIr structure, from the Alexandria database.

Cell lengths 5.4603, 5.4603, 5.4603 Å; angles 90.00, 90.00, 90.00 degrees
Last column: nearest neighbours and their distance in Å.
Fractional coordinates of all 5 atoms:
Na 0.0000 0.0000 0.5000  2 Ir 2.73
Na 0.0000 0.5000 0.0000  2 Ir 2.73
Na 0.5000 0.0000 0.0000  2 Ir 2.73
Ni 0.5000 0.5000 0.5000  12 Na 3.86
Ir 0.0000 0.0000 0.0000  6 Na 2.73

## Properties
energy relative to the elements: 122 kJ per mole of atoms
symmetry: No. 221
Fermi-level density of states: 14.570 states/eV/f.u.
E above lowest polymorph: 0.000 eV per atom
V: 162.8 Å³ per cell
magnetic moment: 2.0 μB per cell

***

Entry 4:
The following is a PBE calculation of a geometry-optimized BaTmReO6 structure, from the Alexandria database.

Cell lengths 5.5671, 5.5671, 5.6394 Å; angles 90.00, 90.00, 120.00 degrees
Last column: nearest neighbours and their distance in Å.
Fractional coordinates of all 9 atoms:
Ba 0.0000 0.0000 0.0000  6 O 2.74
Tm 0.3333 0.6667 0.5000  6 O 2.21
Re 0.6667 0.3333 0.5000  6 O 1.91
O 0.4019 0.0402 0.6949  1 Re 1.91
O 0.4019 0.3617 0.3051  1 Re 1.91
O 0.6383 0.0402 0.3051  1 Re 1.91
O 0.6383 0.5981 0.6949  1 Re 1.91
O 0.9598 0.3617 0.6949  1 Re 1.91
O 0.9598 0.5981 0.3051  1 Re 1.91

## Properties
symmetry: No. 149
Fermi-level density of states: 0.000 states/eV/f.u.
E_form (uncorrected): -2.516 eV per atom
V: 151.4 Å³ per cell
magnetic moment: 0.0 μB per cell

***

Entry 5:
The following is a PBE calculation of a geometry-optimized Ti2Zn2Pd structure, from the Alexandria database.

Cell lengths 4.1816, 13.0464, 2.8337 Å; angles 90.00, 90.00, 90.00 degrees
Last column: nearest neighbours and their distance in Å.
Fractional coordinates of all 10 atoms:
Ti 0.0000 0.1049 0.0000  3 Ti 2.74-2.83, 6 Zn 2.82-2.91, 4 Pd 2.87
Ti 0.0000 0.8951 0.0000  3 Ti 2.74-2.83, 6 Zn 2.82-2.91, 4 Pd 2.87
Ti 0.5000 0.3951 0.0000  3 Ti 2.74-2.83, 6 Zn 2.82-2.91, 4 Pd 2.87
Ti 0.5000 0.6049 0.0000  3 Ti 2.74-2.83, 6 Zn 2.82-2.91, 4 Pd 2.87
Zn 0.0000 0.2997 0.5000  2 Zn 2.46, 1 Pd 2.61
Zn 0.0000 0.7003 0.5000  2 Zn 2.46, 1 Pd 2.61
Zn 0.5000 0.2003 0.5000  2 Zn 2.46, 1 Pd 2.61
Zn 0.5000 0.7997 0.5000  2 Zn 2.46, 1 Pd 2.61
Pd 0.0000 0.5000 0.5000  2 Zn 2.61, 2 Pd 2.83, 8 Ti 2.87
Pd 0.5000 0.0000 0.5000  2 Zn 2.61, 2 Pd 2.83, 8 Ti 2.87

## Properties
energy relative to the elements: -28 kJ per mole of atoms
symmetry: No. 65
Fermi-level density of states: 4.166 states/eV/f.u.
E above lowest polymorph: 0.000 eV per atom
V: 154.6 Å³ per cell
magnetic moment: 3.3 μB per cell

***

Entry 6:
The following is a PBE calculation of a geometry-optimized PtNF2 structure, from the Alexandria database.

Cell lengths 3.2307, 3.2307, 15.7641 Å; angles 90.00, 90.00, 90.00 degrees
Last column: nearest neighbours and their distance in Å.
Fractional coordinates of all 16 atoms:
Pt 0.0000 0.0000 0.0000  4 F 2.27, 4 N 2.28
Pt 0.0000 0.5000 0.2500  4 F 2.27, 4 N 2.28
Pt 0.5000 0.0000 0.7500  4 F 2.27, 4 N 2.28
Pt 0.5000 0.5000 0.5000  4 F 2.27, 4 N 2.28
N 0.0000 0.0000 0.5000  4 Pt 2.28, 4 F 2.29
N 0.0000 0.5000 0.7500  4 Pt 2.28, 4 F 2.29
N 0.5000 0.0000 0.2500  4 Pt 2.28, 4 F 2.29
N 0.5000 0.5000 0.0000  4 Pt 2.28, 4 F 2.29
F 0.2394 0.2500 0.1250  4 F 2.24-2.33, 2 Pt 2.27, 2 N 2.29
F 0.2500 0.7394 0.3750  4 F 2.24-2.33, 2 Pt 2.27, 2 N 2.29
F 0.2500 0.7606 0.8750  4 F 2.24-2.33, 2 Pt 2.27, 2 N 2.29
F 0.2606 0.2500 0.6250  4 F 2.24-2.33, 2 Pt 2.27, 2 N 2.29
F 0.7394 0.7500 0.6250  4 F 2.24-2.33, 2 Pt 2.27, 2 N 2.29
F 0.7500 0.2394 0.8750  4 F 2.24-2.33, 2 Pt 2.27, 2 N 2.29
F 0.7500 0.2606 0.3750  4 F 2.24-2.33, 2 Pt 2.27, 2 N 2.29
F 0.7606 0.7500 0.1250  4 F 2.24-2.33, 2 Pt 2.27, 2 N 2.29

## Properties
symmetry: No. 122
Fermi-level density of states: 3.095 states/eV/f.u.
E_form (uncorrected): 0.711 eV per atom
E above lowest polymorph: 0.000 eV per atom
V: 164.5 Å³ per cell
magnetic moment: 0.0 μB per cell

***

Entry 7:
The following is a PBE calculation of a geometry-optimized SrSbRu2 structure, from the Alexandria database.

Cell lengths 3.3336, 3.3336, 7.1508 Å; angles 90.00, 90.00, 90.00 degrees
Last column: nearest neighbours and their distance in Å.
Fractional coordinates of all 4 atoms:
Sr 0.0000 0.0000 0.0000  8 Ru 3.19, 4 Sr 3.33
Sb 0.0000 0.0000 0.5000  8 Ru 2.76
Ru 0.5000 0.5000 0.2997  4 Sb 2.76, 1 Ru 2.86
Ru 0.5000 0.5000 0.7003  4 Sb 2.76, 1 Ru 2.86

## Properties
symmetry: No. 123
Fermi-level density of states: 4.842 states/eV/f.u.
E_form (uncorrected): 0.208 eV per atom
V: 79.5 Å³ per cell
magnetic moment: 0.0 μB per cell

***

Entry 8:
The following is a PBE calculation of a geometry-optimized P2AuBrO structure, from the Alexandria database.

Cell lengths 5.0066, 5.0066, 3.6209 Å; angles 90.00, 90.00, 90.00 degrees
Last column: nearest neighbours and their distance in Å.
Fractional coordinates of all 5 atoms:
P 0.0000 0.5000 0.0000  2 Br 2.50
P 0.5000 0.0000 0.0000  2 Br 2.50
Au 0.0000 0.0000 0.5000  8 P 3.09
Br 0.5000 0.5000 0.0000  2 O 1.81
O 0.5000 0.5000 0.5000  2 Br 1.81

## Properties
symmetry: No. 123
Fermi-level density of states: 3.661 states/eV/f.u.
E_form (uncorrected): 1.186 eV per atom
E above lowest polymorph: 0.268 eV per atom
V: 90.8 Å³ per cell
magnetic moment: 0.0 μB per cell

***

Entry 9:
The following is a PBE calculation of a geometry-optimized Tb3Er9Tm2 structure, from the Alexandria database.

Cell lengths 6.1637, 8.5721, 8.6566 Å; angles 79.71, 77.12, 86.97 degrees
Last column: nearest neighbours and their distance in Å.
Fractional coordinates of all 14 atoms:
Tb 0.0000 0.0000 0.0000  2 Tm 3.39, 6 Er 3.39-3.65
Tb 0.2504 0.3796 0.2725  9 Er 3.30-3.61, 1 Tm 3.42
Tb 0.7496 0.6204 0.7275  9 Er 3.30-3.61, 1 Tm 3.42
Er 0.0000 0.0000 0.5000  4 Tm 3.46-3.54, 4 Er 3.46-3.55, 2 Tb 3.71
Er 0.0933 0.3130 0.6946  3 Tb 3.30-3.51, 6 Er 3.41-3.55, 1 Tm 3.59
Er 0.1927 0.6158 0.8972  4 Er 3.18-3.53, 2 Tb 3.37-3.42, 1 Tm 3.45
Er 0.3456 0.6690 0.4936  7 Er 3.36-3.49, 2 Tm 3.43-3.52, 2 Tb 3.51-3.54
Er 0.4931 0.2444 0.9160  3 Er 3.18-3.42, 1 Tm 3.34, 1 Tb 3.48
Er 0.5069 0.7556 0.0840  3 Er 3.18-3.42, 1 Tm 3.34, 1 Tb 3.48
Er 0.6544 0.3310 0.5064  7 Er 3.36-3.49, 2 Tm 3.43-3.52, 2 Tb 3.51-3.54
Er 0.8073 0.3842 0.1028  4 Er 3.18-3.53, 2 Tb 3.37-3.42, 1 Tm 3.45
Er 0.9067 0.6870 0.3054  3 Tb 3.30-3.51, 6 Er 3.41-3.55, 1 Tm 3.59
Tm 0.4480 0.9669 0.6991  1 Tm 3.31, 8 Er 3.34-3.59, 2 Tb 3.39-3.42
Tm 0.5520 0.0331 0.3009  1 Tm 3.31, 8 Er 3.34-3.59, 2 Tb 3.39-3.42

## Properties
energy relative to the elements: 11 kJ per mole of atoms
symmetry: No. 2
Fermi-level density of states: 21.291 states/eV/f.u.
V: 438.7 Å³ per cell
magnetic moment: 0.0 μB per cell

***

Entry 10:
The following is a PBE calculation of a geometry-optimized K4Nb2O structure, from the Alexandria database.

Cell lengths 4.5153, 4.5153, 24.2040 Å; angles 90.00, 90.00, 90.00 degrees
Last column: nearest neighbours and their distance in Å.
Fractional coordinates of all 14 atoms:
K 0.0000 0.0000 0.1244  1 O 3.01, 1 Nb 3.31
K 0.0000 0.0000 0.8756  1 O 3.01, 1 Nb 3.31
K 0.0000 0.5000 0.0000  2 O 2.26
K 0.0000 0.5000 0.5000  2 O 2.26
K 0.5000 0.0000 0.0000  2 O 2.26
K 0.5000 0.0000 0.5000  2 O 2.26
K 0.5000 0.5000 0.3756  1 O 3.01, 1 Nb 3.31
K 0.5000 0.5000 0.6244  1 O 3.01, 1 Nb 3.31
Nb 0.0000 0.0000 0.2612  4 Nb 3.24, 1 K 3.31
Nb 0.0000 0.0000 0.7388  4 Nb 3.24, 1 K 3.31
Nb 0.5000 0.5000 0.2388  4 Nb 3.24, 1 K 3.31
Nb 0.5000 0.5000 0.7612  4 Nb 3.24, 1 K 3.31
O 0.0000 0.0000 0.0000  4 K 2.26
O 0.5000 0.5000 0.5000  4 K 2.26

## Properties
symmetry: No. 139
Fermi-level density of states: 7.894 states/eV/f.u.
E_form (uncorrected): 0.719 eV per atom
V: 493.5 Å³ per cell
magnetic moment: 5.9 μB per cell

***

Entry 11:
The following is a PBE calculation of a geometry-optimized AcErInRu structure, from the Alexandria database.

Cell lengths 7.4643, 7.4643, 7.4643 Å; angles 90.00, 90.00, 90.00 degrees
Last column: nearest neighbours and their distance in Å.
Fractional coordinates of all 16 atoms:
Ac 0.0000 0.0000 0.0000  4 In 3.23, 4 Ru 3.23
Ac 0.0000 0.5000 0.5000  4 In 3.23, 4 Ru 3.23
Ac 0.5000 0.0000 0.5000  4 In 3.23, 4 Ru 3.23
Ac 0.5000 0.5000 0.0000  4 In 3.23, 4 Ru 3.23
Er 0.0000 0.0000 0.5000  4 In 3.23, 4 Ru 3.23
Er 0.0000 0.5000 0.0000  4 In 3.23, 4 Ru 3.23
Er 0.5000 0.0000 0.0000  4 In 3.23, 4 Ru 3.23
Er 0.5000 0.5000 0.5000  4 In 3.23, 4 Ru 3.23
In 0.2500 0.2500 0.7500  4 Ac 3.23, 4 Er 3.23
In 0.2500 0.7500 0.2500  4 Ac 3.23, 4 Er 3.23
In 0.7500 0.2500 0.2500  4 Ac 3.23, 4 Er 3.23
In 0.7500 0.7500 0.7500  4 Ac 3.23, 4 Er 3.23
Ru 0.2500 0.2500 0.2500  4 Ac 3.23, 4 Er 3.23
Ru 0.2500 0.7500 0.7500  4 Ac 3.23, 4 Er 3.23
Ru 0.7500 0.2500 0.7500  4 Ac 3.23, 4 Er 3.23
Ru 0.7500 0.7500 0.2500  4 Ac 3.23, 4 Er 3.23

## Properties
energy relative to the elements: -13 kJ per mole of atoms
symmetry: No. 216
Fermi-level density of states: 2.721 states/eV/f.u.
V: 415.9 Å³ per cell
magnetic moment: 0.0 μB per cell

***

Entry 12:
The following is a PBE calculation of a geometry-optimized LiTi3Tc structure, from the Alexandria database.

Cell lengths 4.7735, 4.7735, 4.7735 Å; angles 90.00, 90.00, 90.00 degrees
Last column: nearest neighbours and their distance in Å.
Fractional coordinates of all 5 atoms:
Li 0.0000 0.0000 0.0000  12 Ti 3.38
Ti 0.0000 0.5000 0.5000  2 Tc 2.39
Ti 0.5000 0.0000 0.5000  2 Tc 2.39
Ti 0.5000 0.5000 0.0000  2 Tc 2.39
Tc 0.5000 0.5000 0.5000  6 Ti 2.39

## Properties
energy relative to the elements: 51 kJ per mole of atoms
symmetry: No. 221
Fermi-level density of states: 8.478 states/eV/f.u.
E above lowest polymorph: 0.000 eV per atom
V: 108.8 Å³ per cell
magnetic moment: 1.4 μB per cell

***

What did the first record say?
The following is a PBE calculation of a geometry-optimized K2Tl9Rh3 structure, from the Alexandria database.

Cell lengths 8.6991, 8.6991, 12.0998 Å; angles 111.92, 111.92, 59.21 degrees
Last column: nearest neighbours and their distance in Å.
Fractional coordinates of all 28 atoms:
K 0.0873 0.2551 0.2482  11 Tl 3.31-3.58
K 0.2551 0.0873 0.7482  11 Tl 3.31-3.58
K 0.7449 0.9127 0.2518  11 Tl 3.31-3.58
K 0.9127 0.7449 0.7518  11 Tl 3.31-3.58
Tl 0.0070 0.8761 0.0783  3 Rh 2.89-3.14, 1 Tl 3.23
Tl 0.1239 0.9930 0.4217  3 Rh 2.89-3.14, 1 Tl 3.23
Tl 0.1774 0.5837 0.2516  2 Rh 2.83-2.86
Tl 0.1824 0.3597 0.5739  3 Rh 2.95-3.03, 5 Tl 3.21-3.26
Tl 0.3061 0.4889 0.9531  3 Rh 2.87-2.94
Tl 0.3352 0.6648 0.7500  2 Rh 2.83
Tl 0.3597 0.1824 0.0739  3 Rh 2.95-3.03, 5 Tl 3.21-3.26
Tl 0.4163 0.8226 0.2484  2 Rh 2.83-2.86
Tl 0.4889 0.3061 0.4531  3 Rh 2.87-2.94
Tl 0.5111 0.6939 0.5469  3 Rh 2.87-2.94
Tl 0.5837 0.1774 0.7516  2 Rh 2.83-2.86
Tl 0.6403 0.8176 0.9261  3 Rh 2.95-3.03, 5 Tl 3.21-3.26
Tl 0.6648 0.3352 0.2500  2 Rh 2.83
Tl 0.6939 0.5111 0.0469  3 Rh 2.87-2.94
Tl 0.8176 0.6403 0.4261  3 Rh 2.95-3.03, 5 Tl 3.21-3.26
Tl 0.8226 0.4163 0.7484  2 Rh 2.83-2.86
Tl 0.8761 0.0070 0.5783  3 Rh 2.89-3.14, 1 Tl 3.23
Tl 0.9930 0.1239 0.9217  3 Rh 2.89-3.14, 1 Tl 3.23
Rh 0.0000 0.5000 0.0000  8 Tl 2.86-3.07
Rh 0.1714 0.6616 0.4990  8 Tl 2.83-3.14
Rh 0.3384 0.8286 0.0010  8 Tl 2.83-3.14
Rh 0.5000 0.0000 0.5000  8 Tl 2.86-3.07
Rh 0.6616 0.1714 0.9990  8 Tl 2.83-3.14
Rh 0.8286 0.3384 0.5010  8 Tl 2.83-3.14

## Properties
energy relative to the elements: 2 kJ per mole of atoms
symmetry: No. 15
Fermi-level density of states: 8.848 states/eV/f.u.
V: 710.4 Å³ per cell
magnetic moment: 0.0 μB per cell

***

Among the records above, which one has the highest magnetic moment?
K4Nb2O

***

Which value of Fermi-level density of states does entry 10 give?
7.894 states/eV/f.u.

***

The lowest Fermi-level density of states belongs to which entry?
BaTmReO6